# 1
! GeHRh2 (PBE, relaxed); values from VASP
&SYSTEM
  ibrav = 0, nat = 4, ntyp = 3
/
ATOMIC_SPECIES
Ge 72.64 Ge.upf
H 1.01 H.upf
Rh 102.91 Rh.upf
CELL_PARAMETERS angstrom
2.904 0.000 0.000
0.000 2.904 0.000
0.000 0.000 5.639
ATOMIC_POSITIONS angstrom
Ge 0.000 0.000 0.000
H 0.000 0.000 2.820
Rh 1.452 1.452 1.490
Rh 1.452 1.452 4.149
! Polymorph energy (0 for the lowest one) in meV/atom: 240.3
! Space group: P4/mmm, No. 123
! Magnetization in μB/f.u.: 0.00
! Raw total energy in eV per atom: -5.6401


# 2
! MnCuW2 (PBE, relaxed); values from VASP
&SYSTEM
  ibrav = 0, nat = 4, ntyp = 3
/
ATOMIC_SPECIES
Mn 54.94 Mn.upf
Cu 63.55 Cu.upf
W 183.84 W.upf
CELL_PARAMETERS angstrom
2.683 0.000 0.000
0.000 3.926 0.000
-0.719 0.000 5.330
ATOMIC_POSITIONS angstrom
Mn 0.000 0.000 0.000
Cu -0.359 0.000 2.665
W 1.073 1.963 1.288
W 0.892 1.963 4.042
! Polymorph energy (0 for the lowest one) in meV/atom: 38.9
! Space group: P2/m, No. 10
! Magnetization in μB/f.u.: 1.16
! Raw total energy in eV per atom: -9.5181
! Energy of formation from the pure elements in eV/f.u.: 1.10


# 3
! Sm2Dy2Ga4Si (PBE, relaxed); values from VASP
&SYSTEM
  ibrav = 0, nat = 9, ntyp = 4
/
ATOMIC_SPECIES
Sm 150.36 Sm.upf
Dy 162.50 Dy.upf
Ga 69.72 Ga.upf
Si 28.09 Si.upf
CELL_PARAMETERS angstrom
-3.493 3.493 4.382
3.493 -3.493 4.382
3.493 3.493 -4.382
ATOMIC_POSITIONS angstrom
Sm 3.493 0.000 2.191
Sm 0.000 3.493 2.191
Dy 0.000 0.000 1.694
Dy 0.000 0.000 7.070
Ga 1.762 1.762 0.000
Ga 1.731 -1.731 4.382
Ga -1.731 1.731 4.382
Ga 1.731 1.731 4.382
Si 0.000 0.000 4.382
! Space group: I4/mmm, No. 139
! Magnetization in μB/f.u.: 0.00
! Raw total energy in eV per atom: -4.3545
! Uncorrected formation energy in meV/atom: -335.3


# 4
! PmH2C2O7 (PBE, relaxed); values from VASP
&SYSTEM
  ibrav = 0, nat = 12, ntyp = 4
/
ATOMIC_SPECIES
Pm 145.00 Pm.upf
H 1.01 H.upf
C 12.01 C.upf
O 16.00 O.upf
CELL_PARAMETERS angstrom
2.550 1.472 7.617
-2.550 1.472 7.617
0.000 -2.944 7.617
ATOMIC_POSITIONS angstrom
Pm 0.000 0.000 0.000
H 0.000 0.000 10.468
H 0.000 0.000 12.383
C 0.000 0.000 6.194
C 0.000 0.000 16.656
O -0.607 -1.139 6.211
O -0.683 1.095 6.211
O -0.683 -1.095 16.640
O 0.000 0.000 11.425
O 1.290 0.044 6.211
O -0.607 1.139 16.640
O 1.290 -0.044 16.640
! Space group: R32, No. 155
! Magnetization in μB/f.u.: 1.05
! Raw total energy in eV per atom: -6.8518


# 5
! TbSm5Cu6 (PBE, relaxed); values from VASP
&SYSTEM
  ibrav = 0, nat = 12, ntyp = 3
/
ATOMIC_SPECIES
Tb 158.93 Tb.upf
Sm 150.36 Sm.upf
Cu 63.55 Cu.upf
CELL_PARAMETERS angstrom
4.330 -7.500 0.000
4.330 7.500 0.000
-2.898 0.000 4.091
ATOMIC_POSITIONS angstrom
Tb 0.000 0.000 0.000
Sm 2.881 4.995 2.045
Sm 4.330 2.492 0.000
Sm 2.881 0.000 2.045
Sm 4.330 -2.492 0.000
Sm 2.881 -4.995 2.045
Cu 1.421 2.469 1.006
Cu -0.053 0.000 3.036
Cu 1.421 -2.469 1.006
Cu 4.341 2.469 3.085
Cu 5.814 0.000 1.055
Cu 4.341 -2.469 3.085
! Space group: C2/m, No. 12
! Magnetization in μB/f.u.: 0.00
! Raw total energy in eV per atom: -4.5892
! Energy of formation from the pure elements in eV/f.u.: -2.27


# 6
! Ag5Se2Br2 (PBE, relaxed); values from VASP
&SYSTEM
  ibrav = 0, nat = 18, ntyp = 3
/
ATOMIC_SPECIES
Ag 107.87 Ag.upf
Se 78.96 Se.upf
Br 79.90 Br.upf
CELL_PARAMETERS angstrom
10.420 -3.293 0.000
10.420 3.293 0.000
-1.986 0.000 6.492
ATOMIC_POSITIONS angstrom
Ag 9.427 3.199 3.246
Ag 5.948 0.854 1.606
Ag 12.290 2.221 2.211
Ag 4.955 -0.854 4.852
Ag 9.777 0.744 6.254
Ag 10.770 -0.744 3.008
Ag 15.882 0.263 0.528
Ag 14.888 -0.263 3.774
Ag 11.297 -2.221 5.457
Ag 10.420 -3.199 0.000
Se 3.499 1.344 5.598
Se 9.891 1.332 1.504
Se 4.492 -1.344 2.352
Se 8.898 -1.332 4.750
Br 6.957 1.765 3.875
Br 12.058 1.494 5.104
Br 7.951 -1.765 0.629
Br 13.051 -1.494 1.858
! Polymorph energy (0 for the lowest one) in meV/atom: 33.5
! Space group: Cc, No. 9
! Magnetization in μB/f.u.: 0.00
! Raw total energy in eV per atom: -2.8486
! Uncorrected formation energy in meV/atom: -118.5


# 7
! YEr3Ir2 (PBE, relaxed); values from VASP
&SYSTEM
  ibrav = 0, nat = 12, ntyp = 3
/
ATOMIC_SPECIES
Y 88.91 Y.upf
Er 167.26 Er.upf
Ir 192.22 Ir.upf
CELL_PARAMETERS angstrom
4.585 0.000 0.000
0.000 8.702 0.000
0.000 0.000 7.203
ATOMIC_POSITIONS angstrom
Y 0.000 0.743 0.000
Y 0.000 7.959 3.602
Er 0.000 2.872 4.548
Er 0.000 5.830 0.947
Er 2.292 1.502 2.504
Er 2.292 3.594 7.050
Er 2.292 5.108 3.449
Er 2.292 7.200 6.105
Ir 0.000 3.012 1.692
Ir 0.000 5.690 5.294
Ir 2.292 1.360 5.353
Ir 2.292 7.341 1.752
! Polymorph energy (0 for the lowest one) in meV/atom: 0.0
! Space group: Pmc2_1, No. 26
! Magnetization in μB/f.u.: 0.00
! Raw total energy in eV per atom: -7.0677
! Energy of formation from the pure elements in eV/f.u.: -4.53


# 8
! Cu4SnAu (PBE, relaxed); values from VASP
&SYSTEM
  ibrav = 0, nat = 6, ntyp = 3
/
ATOMIC_SPECIES
Cu 63.55 Cu.upf
Sn 118.71 Sn.upf
Au 196.97 Au.upf
CELL_PARAMETERS angstrom
0.000 3.539 3.539
3.539 0.000 3.539
3.539 3.539 0.000
ATOMIC_POSITIONS angstrom
Cu 0.884 0.884 0.884
Cu 2.655 2.655 0.884
Cu 2.655 0.884 2.655
Cu 0.884 2.655 2.655
Sn 3.539 3.539 3.539
Au 5.309 5.309 5.309
! Polymorph energy (0 for the lowest one) in meV/atom: 0.0
! Space group: F-43m, No. 216
! Magnetization in μB/f.u.: 0.00
! Raw total energy in eV per atom: -3.9597
! Energy of formation from the pure elements in eV/f.u.: -0.09


# 9
! TbNp2F8 (PBE, relaxed); values from VASP
&SYSTEM
  ibrav = 0, nat = 11, ntyp = 3
/
ATOMIC_SPECIES
Tb 158.93 Tb.upf
Np 237.00 Np.upf
F 19.00 F.upf
CELL_PARAMETERS angstrom
-1.920 3.395 5.560
1.920 -3.395 5.560
1.920 3.395 -5.560
ATOMIC_POSITIONS angstrom
Tb 0.000 0.000 0.000
Np 0.000 0.000 3.563
Np 0.000 0.000 7.557
F 1.920 -1.610 3.813
F 1.920 0.000 1.450
F 1.920 2.102 0.000
F 0.000 1.785 1.747
F 1.920 1.610 3.813
F 0.000 1.294 5.560
F 0.000 3.395 4.110
F 0.000 5.005 1.747
! Space group: Immm, No. 71
! Magnetization in μB/f.u.: 9.00
! Raw total energy in eV per atom: -7.5225
! Uncorrected formation energy in meV/atom: -3387.8


# 10
! AlRh (PBE, relaxed); values from VASP
&SYSTEM
  ibrav = 0, nat = 2, ntyp = 2
/
ATOMIC_SPECIES
Al 26.98 Al.upf
Rh 102.91 Rh.upf
CELL_PARAMETERS angstrom
0.000 2.499 2.499
2.499 0.000 2.499
2.499 2.499 0.000
ATOMIC_POSITIONS angstrom
Al 0.000 0.000 0.000
Rh 2.499 2.499 2.499
! Space group: Fm-3m, No. 225
! Magnetization in μB/f.u.: 0.00
! Raw total energy in eV per atom: -5.9875
! Energy of formation from the pure elements in eV/f.u.: -0.88


# 11
! NaThSn2 (PBE, relaxed); values from VASP
&SYSTEM
  ibrav = 0, nat = 4, ntyp = 3
/
ATOMIC_SPECIES
Na 22.99 Na.upf
Th 232.04 Th.upf
Sn 118.71 Sn.upf
CELL_PARAMETERS angstrom
3.463 0.000 0.000
0.000 3.463 0.000
0.000 0.000 9.395
ATOMIC_POSITIONS angstrom
Na 0.000 0.000 0.000
Th 0.000 0.000 4.698
Sn 1.732 1.732 2.341
Sn 1.732 1.732 7.054
! Space group: P4/mmm, No. 123
! Magnetization in μB/f.u.: 0.00
! Raw total energy in eV per atom: -4.5132
! Energy of formation from the pure elements in eV/f.u.: -1.31


# 12
! Sr (PBE, relaxed); values from VASP
&SYSTEM
  ibrav = 0, nat = 2, ntyp = 1
/
ATOMIC_SPECIES
Sr 87.62 Sr.upf
CELL_PARAMETERS angstrom
4.233 0.000 0.000
-2.117 3.666 0.000
0.000 0.000 7.044
ATOMIC_POSITIONS angstrom
Sr 0.000 2.444 1.761
Sr 2.117 1.222 5.283
! Polymorph energy (0 for the lowest one) in meV/atom: 1.6
! Space group: P6_3/mmc, No. 194
! Magnetization in μB/f.u.: 0.00
! Raw total energy in eV per atom: -1.6802
! Energy of formation from the pure elements in eV/f.u.: 0.00


# 13
! V3AgBr (PBE, relaxed); values from VASP
&SYSTEM
  ibrav = 0, nat = 5, ntyp = 3
/
ATOMIC_SPECIES
V 50.94 V.upf
Ag 107.87 Ag.upf
Br 79.90 Br.upf
CELL_PARAMETERS angstrom
5.049 0.000 0.000
0.000 5.049 0.000
0.000 0.000 5.049
ATOMIC_POSITIONS angstrom
V 0.000 0.000 2.524
V 0.000 2.524 0.000
V 2.524 0.000 0.000
Ag 0.000 0.000 0.000
Br 2.524 2.524 2.524
! Polymorph energy (0 for the lowest one) in meV/atom: 484.8
! Space group: Pm-3m, No. 221
! Magnetization in μB/f.u.: 9.80
! Raw total energy in eV per atom: -4.8269
! Uncorrected formation energy in meV/atom: 1549.1


# 14
! SmMgRu (PBE, relaxed); values from VASP
&SYSTEM
  ibrav = 0, nat = 3, ntyp = 3
/
ATOMIC_SPECIES
Sm 150.36 Sm.upf
Mg 24.30 Mg.upf
Ru 101.07 Ru.upf
CELL_PARAMETERS angstrom
4.582 0.000 0.000
-2.291 3.968 0.000
0.000 0.000 3.561
ATOMIC_POSITIONS angstrom
Sm 0.000 0.000 0.000
Mg 0.000 2.646 1.782
Ru 2.291 1.323 1.777
! Space group: P3m1, No. 156
! Magnetization in μB/f.u.: 0.00
! Raw total energy in eV per atom: -5.2103
! Energy of formation from the pure elements in eV/f.u.: -0.04


# 15
! TlCu5 (PBE, relaxed); values from VASP
&SYSTEM
  ibrav = 0, nat = 6, ntyp = 2
/
ATOMIC_SPECIES
Tl 204.38 Tl.upf
Cu 63.55 Cu.upf
CELL_PARAMETERS angstrom
0.000 3.509 3.509
3.509 0.000 3.509
3.509 3.509 0.000
ATOMIC_POSITIONS angstrom
Tl 0.000 0.000 0.000
Cu 2.637 2.637 2.637
Cu 4.381 4.381 2.637
Cu 4.381 2.637 4.381
Cu 5.264 5.264 5.264
Cu 2.637 4.381 4.381
! Space group: F-43m, No. 216
! Magnetization in μB/f.u.: 0.00
! Raw total energy in eV per atom: -3.6113
! Energy of formation from the pure elements in eV/f.u.: 1.18


# 16
! PmTmSi2Pt4 (PBE, relaxed); values from VASP
&SYSTEM
  ibrav = 0, nat = 8, ntyp = 4
/
ATOMIC_SPECIES
Pm 145.00 Pm.upf
Tm 168.93 Tm.upf
Si 28.09 Si.upf
Pt 195.08 Pt.upf
CELL_PARAMETERS angstrom
4.196 0.000 0.000
0.000 4.196 0.000
0.000 0.000 8.756
ATOMIC_POSITIONS angstrom
Pm 0.000 0.000 0.000
Tm 0.000 0.000 4.378
Si 2.098 2.098 1.190
Si 2.098 2.098 7.565
Pt 0.000 2.098 2.395
Pt 0.000 2.098 6.360
Pt 2.098 0.000 2.395
Pt 2.098 0.000 6.360
! Space group: P4/mmm, No. 123
! Magnetization in μB/f.u.: 0.00
! Raw total energy in eV per atom: -6.5198
! Uncorrected formation energy in meV/atom: -990.9


# 17
! TbGa2Sn (PBE, relaxed); values from VASP
&SYSTEM
  ibrav = 0, nat = 4, ntyp = 3
/
ATOMIC_SPECIES
Tb 158.93 Tb.upf
Ga 69.72 Ga.upf
Sn 118.71 Sn.upf
CELL_PARAMETERS angstrom
2.331 1.346 4.943
-2.331 1.346 4.943
0.000 -2.692 4.943
ATOMIC_POSITIONS angstrom
Tb 0.000 0.000 0.000
Ga 0.000 0.000 3.413
Ga 0.000 0.000 11.417
Sn 0.000 0.000 7.415
! Polymorph energy (0 for the lowest one) in meV/atom: 241.8
! Space group: R-3m, No. 166
! Magnetization in μB/f.u.: 0.00
! Raw total energy in eV per atom: -3.9288
! Energy of formation from the pure elements in eV/f.u.: -1.03


# 18
! ThBe2Rh (PBE, relaxed); values from VASP
&SYSTEM
  ibrav = 0, nat = 4, ntyp = 3
/
ATOMIC_SPECIES
Th 232.04 Th.upf
Be 9.01 Be.upf
Rh 102.91 Rh.upf
CELL_PARAMETERS angstrom
1.932 1.116 5.050
-1.932 1.116 5.050
0.000 -2.231 5.050
ATOMIC_POSITIONS angstrom
Th 0.000 0.000 0.000
Be 0.000 0.000 2.995
Be 0.000 0.000 12.156
Rh 0.000 0.000 7.575
! Space group: R-3m, No. 166
! Magnetization in μB/f.u.: 0.00
! Raw total energy in eV per atom: -5.9724
! Energy of formation from the pure elements in eV/f.u.: -1.67


# 19
! Ac2GeF (PBE, relaxed); values from VASP
&SYSTEM
  ibrav = 0, nat = 4, ntyp = 3
/
ATOMIC_SPECIES
Ac 227.00 Ac.upf
Ge 72.64 Ge.upf
F 19.00 F.upf
CELL_PARAMETERS angstrom
3.724 0.000 0.000
0.000 3.724 0.000
0.000 0.000 7.591
ATOMIC_POSITIONS angstrom
Ac 0.000 0.000 1.881
Ac 0.000 0.000 5.710
Ge 1.862 1.862 0.000
F 1.862 1.862 3.795
! Polymorph energy (0 for the lowest one) in meV/atom: 342.1
! Space group: P4/mmm, No. 123
! Magnetization in μB/f.u.: 0.22
! Raw total energy in eV per atom: -4.9418
! Uncorrected formation energy in meV/atom: -1265.5


# 20
! AlGe3C (PBE, relaxed); values from VASP
&SYSTEM
  ibrav = 0, nat = 5, ntyp = 3
/
ATOMIC_SPECIES
Al 26.98 Al.upf
Ge 72.64 Ge.upf
C 12.01 C.upf
CELL_PARAMETERS angstrom
4.825 0.000 0.000
0.000 4.825 0.000
0.000 0.000 4.825
ATOMIC_POSITIONS angstrom
Al 0.000 0.000 0.000
Ge 0.000 0.000 2.413
Ge 0.000 2.413 0.000
Ge 2.413 0.000 0.000
C 2.413 2.413 2.413
! Polymorph energy (0 for the lowest one) in meV/atom: 864.2
! Space group: Pm-3m, No. 221
! Magnetization in μB/f.u.: 1.01
! Raw total energy in eV per atom: -3.5639
! Energy of formation from the pure elements in eV/f.u.: 9.00